No. 1
This record from the Alexandria database describes a geometry-optimized Sr3YOs structure. The functional is PBE-GGA.

Calculated formation energy, eV/atom: 1.94
Total energy, eV/atom: -2.60
Crystal system: cubic
Energy above the lowest structure with this stoichiometry, eV per atom: 1.302
Space-group type: Pm-3m
Total moment, μB per cell: 5.141

Structure (extended XYZ):
```
5
Lattice="6.075 0.000 0.000 0.000 6.075 0.000 0.000 0.000 6.075" Properties=species:S:1:pos:R:3 pbc="T T T"
Sr 0.000 0.000 3.038
Sr 0.000 3.038 0.000
Sr 3.038 0.000 0.000
Y 0.000 0.000 0.000
Os 3.038 3.038 3.038
```

---

No. 2
This record from the Alexandria database describes a geometry-optimized PuHfPa2P4 structure. The functional is PBE-GGA.

Calculated formation energy, eV/atom: -1.28
Total energy, eV/atom: -9.40
Crystal system: monoclinic
Space-group type: P2/m
Total moment, μB per cell: 5.165

Structure (extended XYZ):
```
8
Lattice="6.729 0.000 0.000 0.000 3.914 0.000 -2.262 0.000 6.374" Properties=species:S:1:pos:R:3 pbc="T T T"
Pu 0.000 0.000 0.000
Hf -1.131 1.957 3.187
Pa 2.234 0.000 3.187
Pa 3.365 1.957 0.000
P -0.069 0.000 4.708
P 1.053 1.957 1.628
P 3.414 1.957 4.745
P 4.536 0.000 1.666
```

---

No. 3
This record from the Alexandria database describes a geometry-optimized GeBiAu2 structure. The functional is PBE-GGA.

Calculated formation energy, eV/atom: 0.01
Total energy, eV/atom: -3.75
Crystal system: trigonal
Energy above the lowest structure with this stoichiometry, eV per atom: 0.023
Space-group type: R-3m
Total moment, μB per cell: 0.000

Structure (extended XYZ):
```
4
Lattice="2.081 1.202 6.080 -2.081 1.202 6.080 0.000 -2.403 6.080" Properties=species:S:1:pos:R:3 pbc="T T T"
Ge 0.000 0.000 0.000
Bi 0.000 0.000 9.120
Au 0.000 0.000 4.859
Au 0.000 0.000 13.381
```

---

No. 4
This record from the Alexandria database describes a geometry-optimized TlGa2Ge structure. The functional is PBE-GGA.

Calculated formation energy, eV/atom: 0.10
Total energy, eV/atom: -3.16
Crystal system: trigonal
Energy above the lowest structure with this stoichiometry, eV per atom: 0.008
Space-group type: R-3m
Total moment, μB per cell: 0.000

Structure (extended XYZ):
```
4
Lattice="2.039 1.177 6.585 -2.039 1.177 6.585 0.000 -2.354 6.585" Properties=species:S:1:pos:R:3 pbc="T T T"
Tl 0.000 0.000 0.000
Ga 0.000 0.000 4.520
Ga 0.000 0.000 15.235
Ge 0.000 0.000 9.877
```

---

Copy entry 3 word for word.
This record from the Alexandria database describes a geometry-optimized GeBiAu2 structure. The functional is PBE-GGA.

Calculated formation energy, eV/atom: 0.01
Total energy, eV/atom: -3.75
Crystal system: trigonal
Energy above the lowest structure with this stoichiometry, eV per atom: 0.023
Space-group type: R-3m
Total moment, μB per cell: 0.000

Structure (extended XYZ):
```
4
Lattice="2.081 1.202 6.080 -2.081 1.202 6.080 0.000 -2.403 6.080" Properties=species:S:1:pos:R:3 pbc="T T T"
Ge 0.000 0.000 0.000
Bi 0.000 0.000 9.120
Au 0.000 0.000 4.859
Au 0.000 0.000 13.381
```